First-principles (GGA-PBE) data for a relaxed Hf2ZnBi2 crystal, as listed in Alexandria.

Lattice parameters (Å, degrees): 7.726 7.726 4.057 90.00 90.00 90.00
Positions (direct):
Hf 0.144 0.356 0.000
Hf 0.356 0.856 0.000
Hf 0.644 0.144 0.000
Hf 0.856 0.644 0.000
Zn 0.000 0.000 0.000
Zn 0.500 0.500 0.000
Bi 0.158 0.658 0.500
Bi 0.342 0.158 0.500
Bi 0.658 0.842 0.500
Bi 0.842 0.342 0.500

## Properties
Polymorph energy (0 for the lowest one), meV per atom: 0.0
V, A^3/atom: 24.22
Space-group type: P4/mbm (127)
Formation enthalpy at 0 K, eV/f.u.: -0.04

***

First-principles (GGA-PBE) data for a relaxed Hf3ZnBi crystal, as listed in Alexandria.

Lattice parameters (Å, degrees): 8.110 8.110 7.113 95.01 95.01 28.21
Positions (direct):
Hf 0.002 0.002 0.231
Hf 0.192 0.192 0.866
Hf 0.403 0.403 0.456
Hf 0.597 0.597 0.544
Hf 0.808 0.808 0.134
Hf 0.998 0.998 0.769
Zn 0.411 0.411 0.998
Zn 0.589 0.589 0.002
Bi 0.197 0.197 0.310
Bi 0.803 0.803 0.690

## Properties
Polymorph energy (0 for the lowest one), meV per atom: 0.0
V, A^3/atom: 22.03
Space-group type: C2/m (12)
Formation enthalpy at 0 K, eV/f.u.: -0.32

***

First-principles (GGA-PBE) data for a relaxed HfZnBi3 crystal, as listed in Alexandria.

Lattice parameters (Å, degrees): 5.307 5.307 5.307 90.00 90.00 90.00
Positions (direct):
Hf 0.000 0.000 0.000
Zn 0.500 0.500 0.500
Bi 0.000 0.500 0.500
Bi 0.500 0.000 0.500
Bi 0.500 0.500 0.000

## Properties
Polymorph energy (0 for the lowest one), meV per atom: 360.8
V, A^3/atom: 29.89
Space-group type: Pm-3m (221)
Formation enthalpy at 0 K, eV/f.u.: 3.90